Entry 1:
This record from Alexandria via LeMat-Bulk describes an optimized crystal structure of ZnInHg2. The functional is PBE.

Values from the calculation:
Its formation energy is 0.06 eV/atom. The calculation puts the density of states at the Fermi level at 0.208 states/eV per atom. The calculated density is 10.2 g cm⁻³.

Cell: 8.7931 3.5492 6.2164 Å, 90.00 102.33 90.00°
Closest atoms and distances in Å follow each position.
Space group C2/m (No. 12)
Asymmetric unit:
Zn1 0.0000 0.0000 0.0000 (multiplicity 2)  6 Hg 2.88-2.90
In1 0.0000 0.5000 0.5000 (multiplicity 2)  6 Hg 3.01-3.10
Hg1 0.2416 0.5000 0.2212 (multiplicity 4)  3 Zn 2.88-2.90, 3 In 3.01-3.10


Entry 2:
This record from Alexandria via LeMat-Bulk describes an optimized crystal structure of ZnIn2Hg. The functional is PBE.

Values from the calculation:
Its formation energy is 0.06 eV/atom. The calculation puts the density of states at the Fermi level at 0.309 states/eV per atom. The calculated density is 8.5 g cm⁻³.

Cell: 3.5272 3.5272 26.8895 Å, 90.00 90.00 120.00°
Closest atoms and distances in Å follow each position.
Space group R3m (No. 160, hexagonal axes)
Asymmetric unit:
Zn1 0.0000 0.0000 0.0000 (multiplicity 3)  3 Hg 2.81, 3 In 2.92
In1 0.0000 0.0000 0.5056 (multiplicity 3)  3 Hg 3.14, 3 In 3.25
In2 0.0000 0.0000 0.7448 (multiplicity 3)  3 Zn 2.92, 3 In 3.25
Hg1 0.0000 0.0000 0.2613 (multiplicity 3)  3 Zn 2.81, 3 In 3.14


Entry 3:
This record from Alexandria via LeMat-Bulk describes an optimized crystal structure of Zn2InHg. The functional is PBE.

Values from the calculation:
Its formation energy is 0.15 eV/atom. The calculation puts the density of states at the Fermi level at 0.276 states/eV per atom. The calculated density is 8.4 g cm⁻³.

Cell: 3.6885 5.5349 8.5963 Å, 90.00 90.00 90.00°
Closest atoms and distances in Å follow each position.
Space group Cmmm (No. 65)
Asymmetric unit:
Zn1 0.0000 0.0000 0.2424 (multiplicity 4)  2 Hg 2.78, 2 In 2.88
In1 0.0000 0.5000 0.5000 (multiplicity 2)  4 Zn 2.88
Hg1 0.0000 0.5000 0.0000 (multiplicity 2)  4 Zn 2.78


Entry 4:
This record from Alexandria via LeMat-Bulk describes an optimized crystal structure of Zn2InHg. The functional is PBE.

Values from the calculation:
Its formation energy is 0.09 eV/atom. The calculation puts the density of states at the Fermi level at 0.269 states/eV per atom. The calculated density is 8.8 g cm⁻³.

Cell: 8.5965 3.3663 5.9778 Å, 90.00 101.98 90.00°
Closest atoms and distances in Å follow each position.
Space group Cm (No. 8)
Asymmetric unit:
Zn1 0.0000 0.0000 0.0000 (multiplicity 2)  3 Zn 2.67-2.68, 3 In 2.92-2.95
Zn2 0.2358 0.5000 0.1729 (multiplicity 2)  3 Zn 2.67-2.68, 3 Hg 2.87-2.88
In1 0.2470 0.0000 0.7300 (multiplicity 2)  5 Zn 2.92-3.16, 3 Hg 3.01-3.10
Hg1 0.4838 0.0000 0.4222 (multiplicity 2)  5 Zn 2.87-3.06, 3 In 3.01-3.10


Entry 5:
This record from Alexandria via LeMat-Bulk describes an optimized crystal structure of ZnIn6Hg8. The functional is PBE.

Values from the calculation:
Its formation energy is 0.04 eV/atom. The calculation puts the density of states at the Fermi level at 0.336 states/eV per atom. The calculated density is 9.9 g cm⁻³.

Cell: 8.6724 8.6724 18.1544 Å, 90.00 90.00 120.00°
Closest atoms and distances in Å follow each position.
Space group R-3 (No. 148, hexagonal axes)
Asymmetric unit:
Zn1 0.0000 0.0000 0.0000 (multiplicity 3)  6 Hg 3.17, 6 In 3.18
In1 0.0367 0.2661 0.7009 (multiplicity 18)  5 Hg 3.02-3.36, 1 Zn 3.18, 3 In 3.30-3.36
Hg1 0.0000 0.0000 0.4208 (multiplicity 6)  1 Hg 2.88, 3 In 3.09
Hg2 0.0623 0.8155 0.1387 (multiplicity 18)  4 In 3.02-3.36, 1 Zn 3.17, 5 Hg 3.33-3.35


Entry 6:
This record from Alexandria via LeMat-Bulk describes an optimized crystal structure of Zn2InHg. The functional is PBE.

Values from the calculation:
Its formation energy is 0.15 eV/atom. The calculation puts the density of states at the Fermi level at 0.444 states/eV per atom. The calculated density is 8.7 g cm⁻³.

Cell: 6.9759 6.9759 6.9759 Å, 90.00 90.00 90.00°
Closest atoms and distances in Å follow each position.
Space group Fm-3m (No. 225)
Asymmetric unit:
Zn1 0.2500 0.2500 0.2500 (multiplicity 8)  4 Hg 3.02, 4 In 3.02
In1 0.0000 0.0000 0.0000 (multiplicity 4)  8 Zn 3.02
Hg1 0.0000 0.0000 0.5000 (multiplicity 4)  8 Zn 3.02


Entry 7:
This record from Alexandria via LeMat-Bulk describes an optimized crystal structure of ZnIn17Hg11. The functional is PBE.

Values from the calculation:
Its formation energy is 0.03 eV/atom. The calculation puts the density of states at the Fermi level at 0.351 states/eV per atom. The calculated density is 9.1 g cm⁻³.

Cell: 8.8201 9.1862 11.1122 Å, 106.95 109.47 100.52°
Closest atoms and distances in Å follow each position.
Space group P1 (No. 1)
Asymmetric unit:
Zn1 0.0000 0.0000 0.0000 (multiplicity 1)  2 Hg 2.82-2.95, 4 In 2.99-3.15
In1 0.0428 0.8336 0.7416 (multiplicity 1)  1 Zn 3.02, 3 Hg 3.09-3.35, 4 In 3.22-3.37
In2 0.0762 0.5351 0.0222 (multiplicity 1)  5 Hg 3.13-3.50, 5 In 3.18-3.49
In3 0.2391 0.1468 0.6627 (multiplicity 1)  4 Hg 3.10-3.27, 4 In 3.17-3.32
In4 0.2589 0.4845 0.3135 (multiplicity 1)  6 In 3.17-3.34, 4 Hg 3.21-3.47
In5 0.2767 0.1279 0.2833 (multiplicity 1)  1 Zn 2.99, 4 Hg 3.12-3.28, 3 In 3.17-3.26
In6 0.2974 0.8614 0.0386 (multiplicity 1)  1 Zn 3.08, 3 Hg 3.10-3.31, 4 In 3.17-3.27
In7 0.3072 0.2779 0.0448 (multiplicity 1)  2 Hg 3.09-3.11, 1 Zn 3.15, 5 In 3.16-3.40
In8 0.3290 0.8769 0.4658 (multiplicity 1)  4 Hg 3.06-3.24, 3 In 3.21-3.34
In9 0.6495 0.8888 0.7324 (multiplicity 1)  3 Hg 3.09-3.17, 3 In 3.18-3.30, 1 Zn 3.22
In10 0.6539 0.5250 0.0855 (multiplicity 1)  3 Hg 3.07-3.23, 3 In 3.20-3.26
In11 0.6585 0.2957 0.8089 (multiplicity 1)  5 Hg 3.09-3.36, 3 In 3.16-3.32
In12 0.6627 0.5952 0.4889 (multiplicity 1)  4 Hg 3.09-3.30, 5 In 3.23-3.37
In13 0.6947 0.9188 0.0898 (multiplicity 1)  6 Hg 3.10-3.46, 1 Zn 3.21, 1 In 3.27
In14 0.9402 0.4439 0.6557 (multiplicity 1)  4 Hg 3.17-3.40, 4 In 3.23-3.33
In15 0.9488 0.5661 0.3698 (multiplicity 1)  5 Hg 3.15-3.32, 4 In 3.17-3.42
In16 0.9619 0.1706 0.7841 (multiplicity 1)  7 In 3.16-3.32, 1 Zn 3.19, 2 Hg 3.38-3.43
In17 0.9967 0.2146 0.3986 (multiplicity 1)  4 Hg 3.21-3.55, 5 In 3.26-3.48
Hg1 0.0043 0.8124 0.2154 (multiplicity 1)  6 In 3.07-3.27, 2 Hg 3.25-3.41, 1 Zn 3.33
Hg2 0.2775 0.6686 0.6408 (multiplicity 1)  3 Hg 3.06-3.42, 5 In 3.09-3.38
Hg3 0.3354 0.5224 0.8606 (multiplicity 1)  1 Hg 3.06, 5 In 3.07-3.34
Hg4 0.4401 0.3966 0.5853 (multiplicity 1)  5 In 3.09-3.32, 4 Hg 3.11-3.45
Hg5 0.4542 0.0461 0.8897 (multiplicity 1)  7 In 3.09-3.35, 1 Hg 3.42
Hg6 0.4971 0.7399 0.2557 (multiplicity 1)  6 In 3.10-3.46, 2 Hg 3.12-3.38
Hg7 0.6264 0.2538 0.2589 (multiplicity 1)  6 In 3.11-3.38, 2 Hg 3.14-3.37
Hg8 0.6372 0.1194 0.4904 (multiplicity 1)  5 In 3.06-3.38, 3 Hg 3.14-3.38
Hg9 0.7874 0.6611 0.8653 (multiplicity 1)  1 Zn 2.95, 3 In 3.09-3.19
Hg10 0.8763 0.9045 0.4620 (multiplicity 1)  3 Hg 3.12-3.25, 6 In 3.15-3.43
Hg11 0.8801 0.2572 0.0902 (multiplicity 1)  1 Zn 2.82


Entry 8:
This record from Alexandria via LeMat-Bulk describes an optimized crystal structure of ZnInHg3. The functional is PBE.

Values from the calculation:
Its formation energy is 0.05 eV/atom. The calculation puts the density of states at the Fermi level at 0.255 states/eV per atom. The calculated density is 10.5 g cm⁻³.

Cell: 3.7911 7.9438 8.7278 Å, 78.44 78.32 76.68°
Closest atoms and distances in Å follow each position.
Space group P1 (No. 1)
Asymmetric unit:
Zn1 0.0000 0.0000 0.0000 (multiplicity 1)  2 Zn 2.68-2.70, 5 Hg 2.81-2.92
Zn2 0.4812 0.1941 0.8315 (multiplicity 1)  2 Zn 2.68-2.70, 5 Hg 2.81-2.92
In1 0.6413 0.3709 0.3501 (multiplicity 1)  8 Hg 3.06-3.30
In2 0.8398 0.8219 0.4815 (multiplicity 1)  8 Hg 3.06-3.30
Hg1 0.0855 0.6604 0.1772 (multiplicity 1)  1 Zn 2.81, 3 In 3.06-3.12
Hg2 0.1286 0.1207 0.6002 (multiplicity 1)  2 Zn 2.85-2.87
Hg3 0.3525 0.0724 0.2315 (multiplicity 1)  2 Zn 2.85-2.87
Hg4 0.3947 0.5332 0.6542 (multiplicity 1)  1 Zn 2.81, 3 In 3.06-3.12
Hg5 0.6783 0.7931 0.8529 (multiplicity 1)  3 Zn 2.87-3.08, 1 Hg 3.05, 1 In 3.15
Hg6 0.8026 0.4009 0.9786 (multiplicity 1)  3 Zn 2.87-3.08, 1 Hg 3.05, 1 In 3.15